Fe6Rh3N: relaxed, PBE-GGA.

Values from the calculation:
V = 11.9 Å³/atom
Fermi-level density of states = 14.42 states/eV/f.u.
E_form (uncorrected) = -0.001 eV/atom
spin magnetization = 86.8 μB/cell
E = -486.98 eV for the cell shown

Cell lengths 7.9800, 7.9800, 12.9196 Å; angles 90.00, 90.00, 120.00 degrees
Space group R-3m (No. 166, hexagonal axes)
Symmetry-distinct sites (fractional):
Fe 0.1048 0.5524 0.0844 (multiplicity 18)
Fe 0.1082 0.5541 0.7543 (multiplicity 18)
Rh 0.1078 0.5539 0.4139 (multiplicity 18)
N 0.0000 0.0000 0.0000 (multiplicity 3)
N 0.0000 0.0000 0.5000 (multiplicity 3)